An optimized crystal structure of Pm2Si7Ni12, computed with PBE.

Structure (extended XYZ):
```
21
Lattice="9.2295 0.0000 0.0000 -4.6148 7.9930 0.0000 0.0000 0.0000 3.7473" Properties=species:S:1:pos:R:3 pbc="T T T"
Pm 0.0000 0.0000 0.0000
Pm 0.0000 5.3287 1.8737
Si -2.2954 4.8524 0.0000
Si 2.3314 0.2474 1.8737
Si 1.5602 3.5789 0.0000
Si 0.7353 7.5547 0.0000
Si 4.6148 2.6643 0.0000
Si 3.6634 5.8503 1.8737
Si 7.8496 1.8953 1.8737
Ni -3.1512 6.0304 1.8737
Ni -0.7341 3.0979 0.0000
Ni 0.9679 2.2487 1.8737
Ni -1.5649 7.0798 0.0000
Ni 2.6711 1.5942 0.0000
Ni 4.5428 1.0495 1.8737
Ni 3.2522 3.5341 1.8737
Ni 2.2990 5.8083 0.0000
Ni 2.1834 7.7068 1.8737
Ni 6.5133 1.5161 0.0000
Ni 4.6598 4.8827 0.0000
Ni 6.0493 3.4094 1.8737
```

* electronic total energy: -6.219 eV/atom
* total moment: 0.0 μB per cell
* ρ: 7.15 g/cm³
* symmetry: P-6, No. 174
* raw formation energy: -655 meV per atom